1.
An optimized crystal structure of Pm5Pr6. Source: Alexandria via LeMat-Bulk, functional PBE.

VASP energy	-51.0	eV for the cell shown
theoretical density	6.6	Mg/m³
ΔH_f (0 K)	128	meV per atom
E above lowest polymorph	25	meV/atom

a b c (Å): 9.6175 8.2868 6.4602
angles (deg): 78.92 70.66 54.53
Fractional positions:
Pm: 0.2403 0.5194 0.5000
Pm: 0.7597 0.4806 0.5000
Pm: 0.6279 0.7441 0.0000
Pm: 0.5000 0.0000 0.5000
Pm: 0.3721 0.2559 0.0000
Pr: 0.0452 0.2691 0.8365
Pr: 0.6856 0.2691 0.1635
Pr: 0.1751 0.0000 0.3270
Pr: 0.9548 0.7309 0.1635
Pr: 0.3144 0.7309 0.8365
Pr: 0.8249 0.0000 0.6730

=====

2.
An optimized crystal structure of Pm2Pr13. Source: Alexandria via LeMat-Bulk, functional PBE.

VASP energy	-70.9	eV for the cell shown
theoretical density	6.6	Mg/m³
ΔH_f (0 K)	50	meV per atom

a b c (Å): 6.8791 9.2720 9.2710
angles (deg): 113.23 82.52 97.51
Fractional positions:
Pr: 0.7006 0.6317 0.0314
Pr: 0.2994 0.3683 0.9686
Pr: 0.1980 0.8020 0.2029
Pr: 0.1003 0.5657 0.7660
Pr: 0.8020 0.1980 0.7971
Pr: 0.5004 0.1674 0.1665
Pr: 0.3989 0.6006 0.4018
Pr: 0.6011 0.3994 0.5982
Pr: 0.3011 0.0344 0.6346
Pr: 0.6989 0.9656 0.3654
Pr: 0.0000 0.0000 0.0000
Pr: 0.8997 0.4343 0.2340
Pr: 0.4996 0.8326 0.8335
Pm: 0.0997 0.2326 0.4321
Pm: 0.9003 0.7674 0.5679

=====

3.
An optimized crystal structure of Pm4Pr. Source: Alexandria via LeMat-Bulk, functional PBE.

VASP energy	-23.7	eV for the cell shown
theoretical density	6.9	Mg/m³
ΔH_f (0 K)	10	meV per atom
E above lowest polymorph	0	meV/atom

a b c (Å): 3.6656 3.6656 15.0835
angles (deg): 83.03 83.03 59.91
Fractional positions:
Pm: 0.8001 0.8001 0.5995
Pm: 0.4004 0.4004 0.7982
Pm: 0.1999 0.1999 0.4005
Pm: 0.5996 0.5996 0.2018
Pr: 0.0000 0.0000 0.0000

=====

4.
An optimized crystal structure of Pm4Pr. Source: Alexandria via LeMat-Bulk, functional PBE.

VASP energy	-20.7	eV for the cell shown
theoretical density	6.1	Mg/m³
ΔH_f (0 K)	609	meV per atom
E above lowest polymorph	599	meV/atom

a b c (Å): 5.8167 5.8167 5.8167
angles (deg): 90.00 90.00 90.00
Fractional positions:
Pr: 0.5000 0.5000 0.5000
Pm: 0.0000 0.0000 0.0000
Pm: 0.5000 0.0000 0.5000
Pm: 0.0000 0.5000 0.5000
Pm: 0.5000 0.5000 0.0000

=====

5.
An optimized crystal structure of PmPr3. Source: Alexandria via LeMat-Bulk, functional PBE.

VASP energy	-19.0	eV for the cell shown
theoretical density	6.6	Mg/m³
ΔH_f (0 K)	12	meV per atom
E above lowest polymorph	0	meV/atom

a b c (Å): 6.4241 6.4241 6.4241
angles (deg): 132.05 132.05 70.15
Fractional positions:
Pr: 0.5000 0.5000 0.0000
Pr: 0.7500 0.2500 0.5000
Pr: 0.2500 0.7500 0.5000
Pm: 0.0000 0.0000 0.0000

=====

6.
An optimized crystal structure of PmPr3. Source: Alexandria via LeMat-Bulk, functional PBE.

VASP energy	-19.0	eV for the cell shown
theoretical density	6.6	Mg/m³
ΔH_f (0 K)	12	meV per atom
E above lowest polymorph	0	meV/atom

a b c (Å): 5.2284 5.2284 5.2284
angles (deg): 90.00 90.00 90.00
Fractional positions:
Pm: 0.0000 0.0000 0.0000
Pr: 0.0000 0.5000 0.5000
Pr: 0.5000 0.0000 0.5000
Pr: 0.5000 0.5000 0.0000

=====

7.
An optimized crystal structure of Pm7Pr3. Source: Alexandria via LeMat-Bulk, functional PBE.

VASP energy	-47.5	eV for the cell shown
theoretical density	6.8	Mg/m³
ΔH_f (0 K)	12	meV per atom
E above lowest polymorph	0	meV/atom

a b c (Å): 5.1803 7.3337 11.0051
angles (deg): 119.87 103.61 90.00
Fractional positions:
Pr: 0.1996 0.7989 0.3992
Pr: 0.8004 0.2011 0.6008
Pr: 0.0000 0.0000 0.0000
Pm: 0.5996 0.8995 0.1991
Pm: 0.6000 0.3997 0.2000
Pm: 0.0000 0.5000 0.0000
Pm: 0.4000 0.6003 0.8000
Pm: 0.2000 0.3004 0.4000
Pm: 0.8000 0.6996 0.6000
Pm: 0.4004 0.1005 0.8009

=====

8.
An optimized crystal structure of PmPr3. Source: Alexandria via LeMat-Bulk, functional PBE.

VASP energy	-19.0	eV for the cell shown
theoretical density	6.5	Mg/m³
ΔH_f (0 K)	34	meV per atom
E above lowest polymorph	22	meV/atom

a b c (Å): 3.7288 5.9923 6.4740
angles (deg): 90.00 90.00 90.00
Fractional positions:
Pm: 0.0000 0.0000 0.0024
Pr: 0.5000 0.5000 0.8314
Pr: 0.0000 0.5000 0.3307
Pr: 0.5000 0.0000 0.5020

=====

What is the formula in the fifth record?
PmPr3